VASP calculation (PBE-GGA) on a relaxed Cd5CuPd6 crystal.

a b c (Å): 7.7108 7.7108 7.7108
angles (deg): 147.62 122.78 67.30
Element x y z (fractional)
Cd: 0.0000 0.0000 0.0000
Cd: 0.1653 0.6653 0.5000
Cd: 0.3347 0.3347 0.0000
Cd: 0.6653 0.6653 0.0000
Cd: 0.8347 0.3347 0.5000
Cu: 0.5000 0.0000 0.5000
Pd: 0.0927 0.8367 0.2560
Pd: 0.2600 0.5000 0.7600
Pd: 0.4193 0.1633 0.2560
Pd: 0.5807 0.8367 0.7440
Pd: 0.7400 0.5000 0.2400
Pd: 0.9073 0.1633 0.7440

Values from the calculation:
Its formation enthalpy at 0 K is -0.35 eV per atom. Its space-group type is Immm (71). The density is 10.300 g cm⁻³.

***

VASP calculation (PBE-GGA) on a relaxed BRuN2O crystal.

a b c (Å): 3.7802 3.7802 4.0254
angles (deg): 90.00 90.00 90.00
Element x y z (fractional)
B: 0.0000 0.0000 0.0000
Ru: 0.5000 0.5000 0.5000
N: 0.0000 0.5000 0.5000
N: 0.5000 0.0000 0.5000
O: 0.5000 0.5000 0.0000

Values from the calculation:
Its uncorrected formation energy is 1.527 eV/atom. Its space-group type is P4/mmm (123). The density is 4.500 g cm⁻³.

***

VASP calculation (PBE-GGA) on a relaxed Mg2Te crystal.

a b c (Å): 5.0701 5.0701 5.0701
angles (deg): 60.00 60.00 60.00
Element x y z (fractional)
Mg: 0.2500 0.2500 0.2500
Mg: 0.7500 0.7500 0.7500
Te: 0.0000 0.0000 0.0000

Values from the calculation:
Its uncorrected formation energy is -0.082 eV/atom. Its space-group type is Fm-3m (225). The density is 3.175 g cm⁻³.

***

VASP calculation (PBE-GGA) on a relaxed Ce12Ir6N crystal.

a b c (Å): 8.0603 8.0603 8.0603
angles (deg): 98.22 98.22 98.22
Element x y z (fractional)
Ce: 0.0352 0.9229 0.6988
Ce: 0.0771 0.3012 0.9648
Ce: 0.1810 0.5848 0.4135
Ce: 0.3012 0.9648 0.0771
Ce: 0.4135 0.1810 0.5848
Ce: 0.4152 0.5865 0.8190
Ce: 0.5848 0.4135 0.1810
Ce: 0.5865 0.8190 0.4152
Ce: 0.6988 0.0352 0.9229
Ce: 0.8190 0.4152 0.5865
Ce: 0.9229 0.6988 0.0352
Ce: 0.9648 0.0771 0.3012
Ir: 0.1258 0.3042 0.6203
Ir: 0.3042 0.6203 0.1258
Ir: 0.3797 0.8742 0.6958
Ir: 0.6203 0.1258 0.3042
Ir: 0.6958 0.3797 0.8742
Ir: 0.8742 0.6958 0.3797
N: 0.0000 0.0000 0.0000

Values from the calculation:
Its uncorrected formation energy is -0.574 eV/atom. Its space-group type is R-3 (148). The density is 9.353 g cm⁻³.

***

VASP calculation (PBE-GGA) on a relaxed Dy2Er2Pb2C crystal.

a b c (Å): 8.7245 8.7245 8.7245
angles (deg): 148.15 148.15 45.66
Element x y z (fractional)
Dy: 0.1570 0.1570 0.0000
Dy: 0.8430 0.8430 0.0000
Er: 0.0000 0.5000 0.5000
Er: 0.5000 0.0000 0.5000
Pb: 0.3582 0.3582 0.0000
Pb: 0.6418 0.6418 0.0000
C: 0.0000 0.0000 0.0000

Values from the calculation:
Its formation enthalpy at 0 K is -0.58 eV per atom. Its space-group type is I4/mmm (139). The density is 9.786 g cm⁻³.

***

VASP calculation (PBE-GGA) on a relaxed La12Pr7In crystal.

a b c (Å): 11.5239 11.5239 11.5239
angles (deg): 116.46 116.46 116.46
Element x y z (fractional)
La: 0.0022 0.0080 0.3573
La: 0.0080 0.3573 0.0022
La: 0.0464 0.6222 0.4148
La: 0.3573 0.0022 0.0080
La: 0.3778 0.5852 0.9536
La: 0.4148 0.0464 0.6222
La: 0.5852 0.9536 0.3778
La: 0.6222 0.4148 0.0464
La: 0.6427 0.9978 0.9920
La: 0.9536 0.3778 0.5852
La: 0.9920 0.6427 0.9978
La: 0.9978 0.9920 0.6427
Pr: 0.0000 0.0000 0.0000
Pr: 0.1930 0.4387 0.4819
Pr: 0.4387 0.4819 0.1930
Pr: 0.4819 0.1930 0.4387
Pr: 0.5181 0.8070 0.5613
Pr: 0.5613 0.5181 0.8070
Pr: 0.8070 0.5613 0.5181
In: 0.5000 0.5000 0.5000

Values from the calculation:
Its formation enthalpy at 0 K is 0.13 eV per atom. The value obtained for the excess energy over the best structure of this formula in the dataset is 2.35 eV per formula unit. Its space-group type is R-3 (148). The density is 6.296 g cm⁻³.